P) PBE Ba2In3Au5, relaxed; crystal system = monoclinic
1.0
6.574 0.023 2.424
3.627 8.755 0.329
0.293 -0.596 9.459
Ba Au In
4 10 6
Cartesian
5.070 7.183 6.612
7.487 4.757 10.204
5.425 0.998 5.600
3.007 3.425 2.008
2.502 0.287 3.348
7.826 6.721 4.149
3.989 5.873 9.614
4.543 6.719 2.928
2.668 1.460 8.063
6.892 4.101 6.707
5.951 1.462 9.284
3.602 4.080 5.505
6.505 2.308 2.598
7.992 7.894 8.864
4.512 3.598 8.127
8.557 8.770 2.150
5.982 4.583 4.086
8.734 6.231 6.779
1.760 1.950 5.433
1.938 -0.588 10.063

***

Q) PBE Ba2In3Au5, relaxed; crystal system = tetragonal
1.0
-2.296 -0.712 -4.146
3.997 -1.839 -1.898
-3.217 -10.734 3.624
Ba Au In
2 5 3
Cartesian
-1.853 -2.708 -1.279
-0.514 -9.301 1.881
1.574 -2.336 -0.471
-3.941 -9.673 1.073
0.000 0.000 0.000
-0.758 -6.642 -1.210
0.851 -1.275 -3.022
0.834 -4.806 0.363
-1.609 -5.367 1.812
-3.200 -7.203 0.239

***

We find P) to be the most stable, with the next structure 71 meV per atom higher.

***

P) PBE BaIn3Au3, relaxed; crystal system = hexagonal
1.0
-5.207 1.839 -8.053
-4.246 -4.257 7.694
-1.109 4.092 1.652
Au In Ba
6 6 2
Cartesian
-7.234 -1.992 3.211
-3.329 3.667 -1.918
-6.391 1.804 0.640
-3.126 -1.483 4.710
-4.172 -0.130 0.653
-7.437 3.158 -3.417
-1.659 -0.034 2.103
-7.392 -0.944 0.509
-3.171 2.619 0.785
-8.904 1.708 -0.810
-5.082 4.302 -4.670
-5.481 -2.628 5.963
-5.164 0.830 -2.391
-5.399 0.845 3.684

***

Q) PBE BaIn3Au3, relaxed; crystal system = trigonal
1.0
-5.887 -6.453 2.735
-3.933 -5.513 -6.157
0.815 -7.494 -0.613
In Au Ba
6 6 2
Cartesian
-3.844 -7.576 0.274
-4.128 -8.707 -5.040
-5.160 -11.883 -4.309
-4.877 -10.752 1.005
-7.063 -11.595 -1.484
-1.941 -7.865 -2.551
-7.598 -10.695 -4.110
-1.406 -8.765 0.075
-6.383 -8.491 1.116
-5.132 -13.183 -0.414
-3.872 -6.277 -3.620
-2.622 -10.969 -5.151
-3.179 -4.069 -1.129
-5.825 -15.391 -2.906

***

We find P) to be the most stable, with the next structure 12 meV per atom higher.

***

P) PBE BaSrInAu, relaxed; crystal system = orthorhombic
1.0
-1.009 -1.371 4.242
4.619 -1.755 0.532
2.375 6.292 0.136
Au In Sr Ba
1 1 1 1
Cartesian
1.250 3.746 1.508
4.032 4.287 2.345
0.108 0.324 0.131
2.725 1.195 3.497

***

Q) PBE BaSrInAu, relaxed; crystal system = cubic
1.0
-5.093 1.757 -2.016
-4.301 -3.768 -0.626
-4.557 0.229 3.504
Sr Ba In Au
1 1 1 1
Cartesian
-3.488 -0.446 0.216
-10.464 -1.337 0.647
0.000 0.000 0.000
-6.976 -0.891 0.431

***

We find P) to be the most stable, with the next structure 43 meV per atom higher.

***

P) PBE BaTlInAu, relaxed; crystal system = trigonal
1.0
-3.798 -2.698 -1.213
0.576 -3.806 -2.890
-0.048 -5.935 3.798
Tl In Au Ba
1 1 1 1
Cartesian
-0.142 -5.592 3.327
-1.990 -4.916 -1.940
-0.854 -2.977 -0.258
-2.662 -8.556 -1.288

***

Q) PBE BaTlInAu, relaxed; crystal system = cubic
1.0
5.488 0.000 0.000
2.744 4.753 0.000
2.744 1.584 4.481
Ba Au Tl In
1 1 1 1
Cartesian
8.233 4.753 3.361
0.000 0.000 0.000
5.488 3.169 2.241
2.744 1.584 1.120

***

We find P) to be the most stable, with the next structure 39 meV per atom higher.

***

P) PBE BaIrAu2, relaxed; crystal system = monoclinic
1.0
-4.354 -0.574 1.154
3.819 -4.003 -5.374
0.598 -4.254 0.165
Au Ir Ba
2 1 1
Cartesian
0.000 0.000 0.000
2.209 -4.129 -2.605
-1.878 -2.414 0.660
-0.267 -2.289 -2.110

***

Q) PBE BaIrAu2, relaxed; crystal system = orthorhombic
1.0
6.059 0.009 0.007
2.666 5.442 -0.007
-3.695 -3.794 2.945
Au Ba Ir
2 1 1
Cartesian
8.283 5.175 0.000
4.805 3.002 0.000
1.666 2.187 1.469
3.363 -0.530 1.476

***

R) PBE BaIrAu2, relaxed; crystal system = trigonal
1.0
4.659 -0.003 0.014
2.332 4.033 0.014
2.312 1.333 5.538
Ir Au Ba
1 2 1
Cartesian
2.325 1.341 1.392
6.987 4.029 0.938
4.654 2.683 1.874
6.976 4.023 4.175

***

We find R) to be the most stable, with the next structure 320 meV per atom higher.

***

P) PBE BaIrAu2, relaxed; crystal system = cubic
1.0
1.040 -3.062 -3.912
2.675 -4.249 0.744
-2.273 -4.525 -0.355
Au Ir Ba
2 1 1
Cartesian
0.360 -2.959 -0.881
1.081 -8.877 -2.643
0.721 -5.918 -1.762
0.000 0.000 0.000

***

Q) PBE BaIrAu2, relaxed; crystal system = orthorhombic
1.0
-0.377 -5.417 4.877
4.029 -2.207 5.673
-3.746 5.036 -3.726
Ir Au Ba
1 2 1
Cartesian
-1.102 -2.193 3.347
1.081 -0.546 3.687
3.366 -7.027 9.724
2.039 -4.257 5.891

***

R) PBE BaIrAu2, relaxed; crystal system = tetragonal
1.0
-1.936 -3.094 -0.167
2.563 -1.710 1.961
-3.476 1.843 6.150
Ba Au Ir
1 2 1
Cartesian
-1.747 0.926 3.090
-3.272 1.735 5.789
-0.438 -2.004 2.225
-2.608 -0.853 6.065

***

We find Q) to be the most stable, with the next structure 47 meV per atom higher.

***

P) PBE BaIrAu2, relaxed; crystal system = orthorhombic
1.0
-2.149 2.872 -2.353
-1.242 -2.504 -1.924
-5.293 -0.560 4.150
Au Ir Ba
2 1 1
Cartesian
-5.013 -0.827 3.568
-2.342 1.006 -0.544
-6.500 -0.620 1.269
-3.388 -1.842 0.845

***

Q) PBE BaIrAu2, relaxed; crystal system = tetragonal
1.0
-4.633 -0.271 -2.761
-1.689 -5.114 0.392
1.514 3.443 3.875
Ba Ir Au
1 1 2
Cartesian
-1.668 -2.182 1.541
-3.140 0.240 -0.035
0.000 0.000 0.000
-3.161 -2.693 -1.185

***

We find P) to be the most stable, with the next structure 147 meV per atom higher.

***

P) PBE BaIrAu2, relaxed; crystal system = monoclinic
1.0
-0.173 -4.639 -0.776
3.278 -2.819 1.859
-2.073 -3.142 4.884
Ba Au Ir
1 2 1
Cartesian
0.540 -5.301 2.952
0.229 -8.064 5.266
2.979 -7.483 1.265
0.903 -2.512 0.552

***

Q) PBE BaIrAu2, relaxed; crystal system = cubic
1.0
5.054 0.000 0.000
2.527 4.377 0.000
2.527 1.459 4.127
Ir Au Ba
1 2 1
Cartesian
7.581 4.377 3.095
2.527 1.459 1.032
0.000 0.000 0.000
5.054 2.918 2.063

***

We find P) to be the most stable, with the next structure 558 meV per atom higher.